Computed, not measured: crystalline LiScTi2 at its relaxed geometry at the PBE-GGA level of DFT.

As for the density of states at the Fermi level: 1.1970 states/eV per atom. The value obtained for the total energy is -5.505 eV/atom. The formation enthalpy at 0 K comes out at 0.504 eV/atom.

The space group is I-42d (No. 122) and the conventional cell measures 3.840, 3.840 and 20.557 Å, with angles of 90.00, 90.00 and 90.00 degrees. Symmetry generates all atoms from Li at (0.000, 0.000, 0.000), Sc at (0.000, 0.000, 0.500) and Ti at (0.246, 0.250, 0.125).